## a
DFT (PBE) results for ScCuHPd2 after structural relaxation.

Structure (POSCAR):
```
ScCuHPd2
1.0
4.001 0.000 0.000
0.000 4.001 0.000
0.000 0.000 4.095
Sc Cu H Pd
1 1 1 2
direct
0.000 0.000 0.000
0.500 0.500 0.000
0.000 0.000 0.500
0.000 0.500 0.500
0.500 0.000 0.500
```

Calculated values
total moment: 0.00 μB/atom


## b
DFT (PBE) results for ScCuHPd2 after structural relaxation.

Structure (POSCAR):
```
ScCuHPd2
1.0
4.071 0.000 0.000
0.000 4.071 0.000
0.000 0.000 3.942
Sc Cu H Pd
1 1 1 2
direct
0.000 0.000 0.000
0.500 0.500 0.000
0.500 0.500 0.500
0.000 0.500 0.500
0.500 0.000 0.500
```

Calculated values
total moment: 0.00 μB/atom


Which one is the most stable? From the structures above, a.